(1)
! Cs2KGeSb2 (PBE-GGA, relaxed); values from VASP
&SYSTEM
  ibrav = 0, nat = 12, ntyp = 4
/
ATOMIC_SPECIES
Cs 132.91 Cs.upf
K 39.10 K.upf
Ge 72.64 Ge.upf
Sb 121.76 Sb.upf
ATOMIC_POSITIONS crystal
Cs 0.4508 0.1727 0.3453
Cs 0.5492 0.8273 0.6547
Cs 0.1054 0.3273 0.6547
Cs 0.8946 0.6727 0.3453
K 0.0000 0.7500 0.0000
K 0.0000 0.2500 0.0000
Ge 0.5000 0.7500 0.0000
Ge 0.5000 0.2500 0.0000
Sb 0.7779 0.0885 0.1771
Sb 0.3991 0.5885 0.1771
Sb 0.6009 0.4115 0.8229
Sb 0.2221 0.9115 0.8229
CELL_PARAMETERS angstrom
8.4632 0.0000 0.0000
0.0000 7.4508 0.0000
-4.2316 -3.7254 8.3754
! Symmetry   Ibam
! Total magnetization   0.00 μB per cell
! E_form (uncorrected)   -0.333 eV/atom
! Calculated total energy   -2.944 eV per atom


(2)
! CsK2GeSe4 (PBE-GGA, relaxed); values from VASP
&SYSTEM
  ibrav = 0, nat = 8, ntyp = 4
/
ATOMIC_SPECIES
Cs 132.91 Cs.upf
K 39.10 K.upf
Ge 72.64 Ge.upf
Se 78.96 Se.upf
ATOMIC_POSITIONS crystal
Cs 0.0000 0.0000 0.0000
K 0.5000 0.7495 0.2505
K 0.5000 0.2505 0.7495
Ge 0.0000 0.5000 0.5000
Se 0.6601 0.5303 0.8100
Se 0.3399 0.1900 0.4697
Se 0.0004 0.4697 0.1900
Se 0.9996 0.8100 0.5303
CELL_PARAMETERS angstrom
8.3132 0.0000 0.0000
4.1566 6.1599 -0.6484
4.1566 0.0377 6.1939
! Symmetry   I-42m
! Total magnetization   1.13 μB per cell
! E_form (uncorrected)   -0.789 eV/atom
! Calculated total energy   -3.490 eV per atom


(3)
! CsK2SrGe (PBE-GGA, relaxed); values from VASP
&SYSTEM
  ibrav = 0, nat = 5, ntyp = 4
/
ATOMIC_SPECIES
Cs 132.91 Cs.upf
Sr 87.62 Sr.upf
Ge 72.64 Ge.upf
K 39.10 K.upf
ATOMIC_POSITIONS crystal
Cs 0.0000 0.5000 0.0000
Sr 0.5000 0.5000 0.5000
Ge 0.0000 0.0000 0.0000
K 0.0000 0.0000 0.5000
K 0.5000 0.0000 0.0000
CELL_PARAMETERS angstrom
6.8033 0.0000 0.0000
0.0000 6.8117 0.0000
0.0000 0.0000 6.8033
! Symmetry   P4/mmm
! Calculated formation energy   271 meV/atom
! Total magnetization   0.21 μB per cell
! Calculated total energy   -1.599 eV per atom